1.
The following is a GGA-PBE calculation of a geometry-optimized Sc3Tc structure, from Alexandria via LeMat-Bulk.

Cell lengths 4.504, 5.247, 6.758 Å; angles 90.00, 90.00, 90.00 degrees
Element x y z (fractional)
Sc 0.000 0.801 0.739
Sc 0.000 0.337 0.500
Sc 0.000 0.801 0.261
Sc 0.500 0.199 0.239
Sc 0.500 0.199 0.761
Sc 0.500 0.663 0.000
Tc 0.500 0.722 0.500
Tc 0.000 0.278 0.000

Raw total energy ... -7.414 eV/atom
N(E_F) ... 0.954 states/eV per atom
ΔE_f ... -0.074 eV per atom
Space-group type ... Pmmn, No. 59

2.
The following is a GGA-PBE calculation of a geometry-optimized KTeS2 structure, from Alexandria via LeMat-Bulk.

Cell lengths 6.366, 6.366, 8.507 Å; angles 68.03, 68.03, 90.00 degrees
Element x y z (fractional)
S 0.875 0.962 0.750
S 0.712 0.125 0.250
S 0.375 0.288 0.750
S 0.038 0.625 0.250
Te 0.750 0.250 0.500
Te 0.000 0.000 0.000
K 0.500 0.500 0.000
K 0.250 0.750 0.500

Raw total energy ... -3.439 eV/atom
N(E_F) ... 0.351 states/eV per atom
Formation energy from raw total energies ... -0.32 eV per atom
Space-group type ... I-42d, No. 122

3.
The following is a GGA-PBE calculation of a geometry-optimized TbU2Re structure, from Alexandria via LeMat-Bulk.

Cell lengths 3.147, 3.147, 10.438 Å; angles 81.33, 81.33, 60.00 degrees
Site moments in Bohr magnetons follow the coordinates.
Element x y z (fractional)
U 0.261 0.261 0.217  1.30
U 0.739 0.739 0.783  1.30
Tb 0.500 0.500 0.500  -0.01
Re 0.000 0.000 0.000  -0.11

Raw total energy ... -9.422 eV/atom
N(E_F) ... 2.695 states/eV per atom
ΔE_f ... 0.491 eV per atom
Space-group type ... R-3m, No. 166

4.
The following is a GGA-PBE calculation of a geometry-optimized Be2TeI structure, from Alexandria via LeMat-Bulk.

Cell lengths 4.866, 4.866, 4.866 Å; angles 60.00, 60.00, 60.00 degrees
Element x y z (fractional)
Te 0.000 0.000 0.000
Be 0.750 0.750 0.750
Be 0.250 0.250 0.250
I 0.500 0.500 0.500

Raw total energy ... -2.125 eV/atom
N(E_F) ... 0.371 states/eV per atom
Formation energy from raw total energies ... 0.91 eV per atom
Space-group type ... Fm-3m, No. 225
Polymorph energy (0 for the lowest one) ... 0.675 eV per atom

5.
The following is a GGA-PBE calculation of a geometry-optimized Ba2LiHg structure, from Alexandria via LeMat-Bulk.

Cell lengths 5.261, 4.809, 6.818 Å; angles 69.41, 90.00, 90.00 degrees
Element x y z (fractional)
Hg 0.000 0.684 0.507
Li 0.500 0.569 0.738
Ba 0.000 0.981 0.913
Ba 0.500 0.267 0.341

Raw total energy ... -1.776 eV/atom
N(E_F) ... 0.875 states/eV per atom
ΔE_f ... -0.261 eV per atom
Space-group type ... Pm, No. 6

6.
The following is a GGA-PBE calculation of a geometry-optimized SnCl3 structure, from Alexandria via LeMat-Bulk.

Cell lengths 11.975, 11.975, 11.975 Å; angles 16.20, 16.20, 16.20 degrees
Site moments in Bohr magnetons follow the coordinates.
Element x y z (fractional)
Cl 0.067 0.067 0.067  0.00
Cl 0.500 0.500 0.500  0.73
Cl 0.933 0.933 0.933  0.00
Sn 0.000 0.000 0.000  0.00

Raw total energy ... -2.367 eV/atom
N(E_F) ... 0.748 states/eV per atom
Formation energy from raw total energies ... 0.02 eV per atom
Space-group type ... R-3m, No. 166

7.
The following is a GGA-PBE calculation of a geometry-optimized CaSnPt structure, from Alexandria via LeMat-Bulk.

Cell lengths 4.627, 7.374, 8.016 Å; angles 90.00, 90.00, 90.00 degrees
Element x y z (fractional)
Sn 0.250 0.669 0.424
Sn 0.250 0.169 0.076
Sn 0.750 0.831 0.924
Sn 0.750 0.331 0.576
Pt 0.750 0.210 0.896
Pt 0.750 0.710 0.604
Pt 0.250 0.790 0.104
Pt 0.250 0.290 0.396
Ca 0.250 0.519 0.813
Ca 0.750 0.481 0.187
Ca 0.250 0.019 0.687
Ca 0.750 0.981 0.313

Raw total energy ... -4.948 eV/atom
N(E_F) ... 0.440 states/eV per atom
ΔE_f ... -0.933 eV per atom
Space-group type ... Pnma, No. 62

8.
The following is a GGA-PBE calculation of a geometry-optimized La2PPb structure, from Alexandria via LeMat-Bulk.

Cell lengths 6.486, 6.486, 6.486 Å; angles 139.35, 139.35, 58.84 degrees
Element x y z (fractional)
Pb 0.750 0.250 0.500
P 0.500 0.500 0.000
La 0.000 0.000 0.000
La 0.250 0.750 0.500

Raw total energy ... -5.421 eV/atom
N(E_F) ... 0.582 states/eV per atom
ΔE_f ... -0.678 eV per atom
Space-group type ... I-4m2, No. 119
Polymorph energy (0 for the lowest one) ... 0.379 eV per atom

9.
The following is a GGA-PBE calculation of a geometry-optimized CdTeMo2 structure, from Alexandria via LeMat-Bulk.

Cell lengths 4.651, 3.200, 5.517 Å; angles 75.58, 90.00, 90.00 degrees
Element x y z (fractional)
Mo 0.500 0.281 0.220
Mo 0.000 0.034 0.054
Te 0.000 0.365 0.473
Cd 0.500 0.820 0.753

Raw total energy ... -5.874 eV/atom
N(E_F) ... 0.789 states/eV per atom
Formation energy from raw total energies ... 0.56 eV per atom
Space-group type ... Pm, No. 6
Polymorph energy (0 for the lowest one) ... 0.312 eV per atom

10.
The following is a GGA-PBE calculation of a geometry-optimized Ac6Ge2C structure, from Alexandria via LeMat-Bulk.

Cell lengths 7.256, 7.256, 13.055 Å; angles 90.00, 90.00, 90.00 degrees
Element x y z (fractional)
C 0.000 0.000 0.000
C 0.500 0.500 0.500
Ac 0.774 0.226 0.500
Ac 0.726 0.726 0.000
Ac 0.694 0.694 0.352
Ac 0.694 0.694 0.648
Ac 0.194 0.806 0.148
Ac 0.306 0.306 0.352
Ac 0.274 0.274 0.000
Ac 0.806 0.194 0.148
Ac 0.194 0.806 0.852
Ac 0.226 0.774 0.500
Ac 0.306 0.306 0.648
Ac 0.806 0.194 0.852
Ge 0.500 0.500 0.832
Ge 0.000 0.000 0.668
Ge 0.500 0.500 0.168
Ge 0.000 0.000 0.332

Raw total energy ... -4.959 eV/atom
N(E_F) ... 1.188 states/eV per atom
ΔE_f ... -0.169 eV per atom
Space-group type ... P4_2/mnm, No. 136
Polymorph energy (0 for the lowest one) ... 0.153 eV per atom

> Number 10 is which compound?

Ac6Ge2C

> What is the formula in the seventh record?

CaSnPt

Copy entry 1 word for word.
The following is a GGA-PBE calculation of a geometry-optimized Sc3Tc structure, from Alexandria via LeMat-Bulk.

Cell lengths 4.504, 5.247, 6.758 Å; angles 90.00, 90.00, 90.00 degrees
Element x y z (fractional)
Sc 0.000 0.801 0.739
Sc 0.000 0.337 0.500
Sc 0.000 0.801 0.261
Sc 0.500 0.199 0.239
Sc 0.500 0.199 0.761
Sc 0.500 0.663 0.000
Tc 0.500 0.722 0.500
Tc 0.000 0.278 0.000

Raw total energy ... -7.414 eV/atom
N(E_F) ... 0.954 states/eV per atom
ΔE_f ... -0.074 eV per atom
Space-group type ... Pmmn, No. 59